Computed, not measured: a geometry-optimized NaSrI2N structure at the GGA-PBEsol level of DFT.

POSCAR file:
```
NaSrI2N
1.0
6.3645 0.0000 0.0000
0.0000 6.3645 0.0000
0.0000 0.0000 4.8504
Na Sr I N
1 1 2 1
direct
0.0000 0.0000 0.0000 Na
0.5000 0.5000 0.5000 Sr
0.0000 0.5000 0.5000 I
0.5000 0.0000 0.5000 I
0.5000 0.5000 0.0000 N
```

Its space group is No. 123. The calculation puts the total energy at -16.863 eV per cell. As for the formation energy from raw total energies: -0.31 eV per atom.